[1]
A relaxed BaSr2Rh crystal, computed with PBE-GGA.

a b c (Å): 3.877 5.679 14.736
angles (deg): 90.00 90.00 90.00
Space group Imm2 (No. 44)
One atom of each set of equivalent atoms:
Ba1 0.000 0.000 0.000 x2
Sr1 0.000 0.000 0.320 x2
Sr2 0.000 0.500 0.163 x2
Rh1 0.000 0.500 0.663 x2

**Calculated formation energy**: -0.054 eV per atom
**Magnetization**: 0.0 μB/cell
**Fermi-level density of states**: 6.4 states/eV per cell

[2]
A relaxed BaSr2Rh crystal, computed with PBE-GGA.

a b c (Å): 4.4500 4.4500 31.1354
angles (deg): 90.00 90.00 120.00
Space group R-3m (No. 166, hexagonal axes)
One atom of each set of equivalent atoms:
Ba1 0.0000 0.0000 0.0000 x3
Sr1 0.0000 0.0000 0.2150 x6
Rh1 0.0000 0.0000 0.5000 x3

**Calculated formation energy**: -0.059 eV per atom
**Magnetization**: 0.0 μB/cell
**Fermi-level density of states**: 9.6 states/eV per cell

[3]
A relaxed BaSr3Rh crystal, computed with PBE-GGA.

a b c (Å): 11.5362 11.5362 6.2124
angles (deg): 90.00 90.00 120.00
Space group R3m (No. 160, hexagonal axes)
One atom of each set of equivalent atoms:
Ba1 0.0000 0.0000 0.0000 x3
Sr1 0.0503 0.5251 0.1075 x9
Rh1 0.0000 0.0000 0.5299 x3

**Calculated formation energy**: 0.035 eV per atom
**Magnetization**: 0.0 μB/cell
**Fermi-level density of states**: 19.1 states/eV per cell

[4]
A relaxed BaSr3Rh crystal, computed with PBE-GGA.

a b c (Å): 4.204 8.123 21.758
angles (deg): 90.00 90.00 90.00
Space group Amm2 (No. 38)
One atom of each set of equivalent atoms:
Ba1 0.000 0.000 0.000 x2
Sr1 0.000 0.240 0.674 x4
Sr2 0.500 0.000 0.820 x2
Rh1 0.500 0.000 0.695 x2

**Calculated formation energy**: 0.284 eV per atom
**Magnetization**: 0.0 μB/cell
**Fermi-level density of states**: 5.9 states/eV per cell

[5]
A relaxed BaSr3Rh crystal, computed with PBE-GGA.

a b c (Å): 8.6948 8.6948 22.3672
angles (deg): 90.00 90.00 120.00
Space group R3m (No. 160, hexagonal axes)
One atom of each set of equivalent atoms:
Ba1 0.0000 0.0000 0.0000 x3
Sr1 0.1676 0.3352 0.8304 x9
Rh1 0.0000 0.0000 0.8800 x3

**Calculated formation energy**: 0.497 eV per atom
**Magnetization**: 0.0 μB/cell
**Fermi-level density of states**: 30.4 states/eV per cell

[6]
A relaxed BaSrRh crystal, computed with PBE-GGA.

a b c (Å): 3.832 7.474 7.950
angles (deg): 103.00 103.78 90.06
Space group P-1 (No. 2)
One atom of each set of equivalent atoms:
Ba1 0.119 0.062 0.242 x2
Sr1 0.115 0.555 0.232 x2
Rh1 0.499 0.257 0.999 x2

**Calculated formation energy**: -0.100 eV per atom
**Magnetization**: 0.0 μB/cell
**Fermi-level density of states**: 5.8 states/eV per cell

- Which value of calculated formation energy does entry 2 give?
  -0.059 eV per atom